This record from Alexandria via LeMat-Bulk describes crystalline AlTeRu at its relaxed geometry. The functional is PBE.

a b c (Å): 3.3184 3.3184 5.9781
angles (deg): 90.00 90.00 120.00
Space group P3m1 (No. 156)
Asymmetric unit:
Al1 0.0000 0.0000 0.0000 x1
Te1 0.3333 0.6667 0.5962 x1
Ru1 0.6667 0.3333 0.2845 x1



This record from Alexandria via LeMat-Bulk describes crystalline AlTeRu2 at its relaxed geometry. The functional is PBE.

a b c (Å): 3.102 4.741 4.410
angles (deg): 90.00 90.00 90.00
Space group Pmm2 (No. 25)
Asymmetric unit:
Al1 0.000 0.000 0.000 x1
Te1 0.500 0.500 0.244 x1
Ru1 0.000 0.500 0.742 x1
Ru2 0.500 0.000 0.522 x1



This record from Alexandria via LeMat-Bulk describes crystalline AlTeRu2 at its relaxed geometry. The functional is PBE.

a b c (Å): 3.150 3.150 6.335
angles (deg): 90.00 90.00 90.00
Space group P4/mmm (No. 123)
Asymmetric unit:
Al1 0.000 0.000 0.000 x1
Te1 0.000 0.000 0.500 x1
Ru1 0.500 0.500 0.232 x2



This record from Alexandria via LeMat-Bulk describes crystalline AlTeRu2 at its relaxed geometry. The functional is PBE.

a b c (Å): 5.613 5.613 11.659
angles (deg): 90.00 90.00 90.00
Space group I-42d (No. 122)
Asymmetric unit:
Al1 0.000 0.000 0.000 x4
Te1 0.000 0.000 0.500 x4
Ru1 0.231 0.250 0.125 x8



This record from Alexandria via LeMat-Bulk describes crystalline AlTeRu2 at its relaxed geometry. The functional is PBE.

a b c (Å): 3.1214 3.1214 23.5072
angles (deg): 90.00 90.00 120.00
Space group R-3m (No. 166, hexagonal axes)
Asymmetric unit:
Al1 0.0000 0.0000 0.0000 x3
Te1 0.0000 0.0000 0.5000 x3
Ru1 0.0000 0.0000 0.2526 x6



This record from Alexandria via LeMat-Bulk describes crystalline AlTeRu4 at its relaxed geometry. The functional is PBE.

a b c (Å): 7.343 7.343 7.343
angles (deg): 90.00 90.00 90.00
Space group F-43m (No. 216)
Asymmetric unit:
Al1 0.000 0.000 0.000 x4
Te1 0.250 0.250 0.250 x4
Ru1 0.125 0.125 0.625 x16



This record from Alexandria via LeMat-Bulk describes crystalline AlTeRu2 at its relaxed geometry. The functional is PBE.

a b c (Å): 6.302 6.302 6.302
angles (deg): 90.00 90.00 90.00
Space group Fm-3m (No. 225)
Asymmetric unit:
Al1 0.000 0.000 0.000 x4
Te1 0.000 0.000 0.500 x4
Ru1 0.250 0.250 0.250 x8



This record from Alexandria via LeMat-Bulk describes crystalline AlTeRu2 at its relaxed geometry. The functional is PBE.

a b c (Å): 3.095 5.060 8.527
angles (deg): 90.00 90.00 90.00
Space group Cmmm (No. 65)
Asymmetric unit:
Al1 0.000 0.000 0.000 x2
Te1 0.000 0.000 0.500 x2
Ru1 0.000 0.500 0.230 x4



This record from Alexandria via LeMat-Bulk describes crystalline AlTe3Ru at its relaxed geometry. The functional is PBE.

a b c (Å): 5.152 5.152 5.152
angles (deg): 90.00 90.00 90.00
Space group Pm-3m (No. 221)
Asymmetric unit:
Al1 0.000 0.000 0.000 x1
Te1 0.000 0.000 0.500 x3
Ru1 0.500 0.500 0.500 x1



This record from Alexandria via LeMat-Bulk describes crystalline Al2TeRu at its relaxed geometry. The functional is PBE.

a b c (Å): 6.031 6.031 11.525
angles (deg): 90.00 90.00 90.00
Space group I-42d (No. 122)
Asymmetric unit:
Al1 0.199 0.250 0.125 x8
Te1 0.000 0.000 0.500 x4
Ru1 0.000 0.000 0.000 x4



This record from Alexandria via LeMat-Bulk describes crystalline AlTeRu2 at its relaxed geometry. The functional is PBE.

a b c (Å): 3.146 4.311 9.655
angles (deg): 90.00 90.00 90.00
Space group Imm2 (No. 44)
Asymmetric unit:
Al1 0.000 0.000 0.000 x2
Te1 0.000 0.500 0.775 x2
Ru1 0.000 0.000 0.500 x2
Ru2 0.000 0.500 0.278 x2



This record from Alexandria via LeMat-Bulk describes crystalline Al2TeRu at its relaxed geometry. The functional is PBE.

a b c (Å): 8.915 3.086 6.323
angles (deg): 90.00 108.96 90.00
Space group Cm (No. 8)
Asymmetric unit:
Al1 0.000 0.000 0.000 x2
Al2 0.211 0.000 0.715 x2
Te1 0.347 0.500 0.319 x2
Ru1 0.484 0.000 0.684 x2



| no. | M_tot (μB/cell) | E_tot (eV/atom) | E_form (uncorrected) (eV/atom) |
| --- | --- | --- | --- |
| 1 | 0.000 | -5.385 | 0.0018 |
| 2 | 0.000 | -6.387 | -0.0276 |
| 3 | 0.000 | -6.501 | -0.1422 |
| 4 | 0.000 | -5.791 | 0.5678 |
| 5 | 0.000 | -6.282 | 0.0766 |
| 6 | 0.007 | -6.865 | 0.4658 |
| 7 | 1.234 | -6.438 | -0.0788 |
| 8 | 0.000 | -6.064 | 0.2951 |
| 9 | 0.000 | -3.450 | 1.0391 |
| 10 | 0.000 | -4.658 | 0.3178 |
| 11 | 0.000 | -6.283 | 0.0762 |
| 12 | 0.000 | -5.150 | -0.1740 |